1.
DFT (GGA-PBE) results for crystalline Ca2MnVAg at its relaxed geometry.

Cell lengths 5.599, 4.890, 5.599 Å; angles 90.00, 90.00, 90.00 degrees
Atoms (fractional coordinates):
Ca 0.000 0.000 0.500
Ca 0.500 0.000 0.000
Mn 0.500 0.500 0.500
Ag 0.000 0.000 0.000
V 0.000 0.500 0.000

Values from the calculation:
- Calculated formation energy: 1028 meV per atom
- Magnetization: 4.5 μB per formula unit
- SG: P4/mmm (123)

---

2.
DFT (GGA-PBE) results for crystalline CaMnAgW2 at its relaxed geometry.

Cell lengths 4.705, 4.215, 4.705 Å; angles 90.00, 90.00, 90.00 degrees
Atoms (fractional coordinates):
Ca 0.000 0.000 0.000
Mn 0.000 0.500 0.000
Ag 0.500 0.500 0.500
W 0.000 0.000 0.500
W 0.500 0.000 0.000

Values from the calculation:
- Calculated formation energy: 2955 meV per atom
- Magnetization: 0.0 μB per formula unit
- SG: P4/mmm (123)

---

3.
DFT (GGA-PBE) results for crystalline CaAgMo2 at its relaxed geometry.

Cell lengths 9.326, 9.326, 9.326 Å; angles 20.01, 20.01, 20.01 degrees
Atoms (fractional coordinates):
Mo 0.985 0.985 0.985
Mo 0.258 0.258 0.258
Ca 0.749 0.749 0.749
Ag 0.508 0.508 0.508

Values from the calculation:
- Calculated formation energy: 481 meV per atom
- Polymorph energy (0 for the lowest one): 0.61 eV/f.u.
- Magnetization: 0.0 μB per formula unit
- SG: R3m (160)

---

4.
DFT (GGA-PBE) results for crystalline CaAg3Mo at its relaxed geometry.

Cell lengths 5.158, 5.158, 5.158 Å; angles 90.00, 90.00, 90.00 degrees
Atoms (fractional coordinates):
Mo 0.000 0.000 0.000
Ca 0.500 0.500 0.500
Ag 0.000 0.500 0.000
Ag 0.000 0.000 0.500
Ag 0.500 0.000 0.000

Values from the calculation:
- Calculated formation energy: 896 meV per atom
- Polymorph energy (0 for the lowest one): 0.00 eV/f.u.
- Magnetization: 3.0 μB per formula unit
- SG: Pm-3m (221)

---

5.
DFT (GGA-PBE) results for crystalline CaAgMo2 at its relaxed geometry.

Cell lengths 5.748, 5.748, 5.748 Å; angles 140.53, 140.53, 57.04 degrees
Atoms (fractional coordinates):
Mo 0.000 0.000 0.000
Mo 0.500 0.500 0.000
Ca 0.750 0.250 0.500
Ag 0.250 0.750 0.500

Values from the calculation:
- Calculated formation energy: 667 meV per atom
- Polymorph energy (0 for the lowest one): 1.36 eV/f.u.
- Magnetization: 0.0 μB per formula unit
- SG: I4/mmm (139)

---

6.
DFT (GGA-PBE) results for crystalline CaAg2Mo at its relaxed geometry.

Cell lengths 4.870, 4.870, 4.870 Å; angles 60.00, 60.00, 60.00 degrees
Atoms (fractional coordinates):
Mo 0.250 0.250 0.250
Ca 0.500 0.500 0.500
Ag 0.000 0.000 0.000
Ag 0.750 0.750 0.750

Values from the calculation:
- Calculated formation energy: 596 meV per atom
- Polymorph energy (0 for the lowest one): 0.75 eV/f.u.
- Magnetization: 3.1 μB per formula unit
- SG: F-43m (216)